Below is an optimized crystal structure of Er6NiTe3, with properties calculated at the GGA-PBE level.

Unit cell a=9.3617 b=9.3617 c=6.8996 alpha=90.00 beta=90.00 gamma=111.47
Closest atoms and distances in Å follow each position.
Fractional coordinates of all 20 atoms:
Er  0.0090  0.9910  0.5000  2 Ni 2.77-2.86, 2 Te 3.01
Er  0.1014  0.5765  0.9342  1 Ni 2.76, 1 Te 3.04
Er  0.2293  0.3759  0.3085  4 Te 3.05-3.18, 1 Ni 3.38, 1 Er 3.40
Er  0.2328  0.7672  0.4432  1 Ni 2.62
Er  0.3759  0.2293  0.8085  4 Te 3.05-3.18, 1 Ni 3.38, 1 Er 3.40
Er  0.4235  0.8986  0.9342  1 Ni 2.76, 1 Te 3.04
Er  0.5765  0.1014  0.4342  1 Ni 2.76, 1 Te 3.04
Er  0.6241  0.7707  0.3085  4 Te 3.05-3.18, 1 Ni 3.38, 1 Er 3.40
Er  0.7672  0.2328  0.9432  1 Ni 2.62
Er  0.7707  0.6241  0.8085  4 Te 3.05-3.18, 1 Ni 3.38, 1 Er 3.40
Er  0.8986  0.4235  0.4342  1 Ni 2.76, 1 Te 3.04
Er  0.9910  0.0090  0.0000  2 Ni 2.77-2.86, 2 Te 3.01
Ni  0.1436  0.8564  0.7652  5 Er 2.62-2.86
Ni  0.8564  0.1436  0.2652  5 Er 2.62-2.86
Te  0.0850  0.2903  0.7140  7 Er 3.01-3.24
Te  0.2903  0.0850  0.2140  7 Er 3.01-3.24
Te  0.4378  0.5622  0.9808  6 Er 3.08-3.22
Te  0.5622  0.4378  0.4808  6 Er 3.08-3.22
Te  0.7097  0.9150  0.7140  7 Er 3.01-3.24
Te  0.9150  0.7097  0.2140  7 Er 3.01-3.24

Properties
The volume is 28.14 Å³/atom. The energy above the lowest structure with this stoichiometry is 0.0929 eV/atom. For the total magnetic moment, the calculation gives 0.0 μB/cell. As for the theoretical density: 8.528 g/cm3. The energy relative to the elements, uncorrected is -663 meV/atom. The total energy is -4.9214 eV/atom.

=====

Below is an optimized crystal structure of Er6NiTe3, with properties calculated at the GGA-PBE level.

Unit cell a=12.0009 b=3.8934 c=12.4511 alpha=90.00 beta=105.30 gamma=90.00
Closest atoms and distances in Å follow each position.
Fractional coordinates of all 20 atoms:
Er  0.0125  0.2500  0.3511  4 Te 3.10-3.16, 1 Er 3.46
Er  0.0814  0.2500  0.8892  4 Te 3.04-3.11
Er  0.2752  0.7500  0.3170  2 Ni 2.86, 3 Te 3.05-3.10
Er  0.2833  0.7500  0.7652  3 Te 3.03-3.07
Er  0.4050  0.2500  0.5605  2 Ni 2.75
Er  0.4585  0.7500  0.1524  2 Ni 2.89, 3 Te 3.08-3.09
Er  0.5415  0.2500  0.8476  2 Ni 2.89, 3 Te 3.08-3.09
Er  0.5950  0.7500  0.4395  2 Ni 2.75
Er  0.7167  0.2500  0.2348  3 Te 3.03-3.07
Er  0.7248  0.2500  0.6830  2 Ni 2.86, 3 Te 3.05-3.10
Er  0.9186  0.7500  0.1108  4 Te 3.04-3.11
Er  0.9875  0.7500  0.6489  4 Te 3.10-3.16, 1 Er 3.46
Ni  0.4516  0.2500  0.3225  6 Er 2.75-2.89
Ni  0.5484  0.7500  0.6775  6 Er 2.75-2.89
Te  0.1217  0.2500  0.1464  6 Er 3.06-3.16
Te  0.1723  0.7500  0.5162  7 Er 3.03-3.33
Te  0.3439  0.2500  0.9625  6 Er 3.04-3.09
Te  0.6561  0.7500  0.0375  6 Er 3.04-3.09
Te  0.8277  0.2500  0.4838  7 Er 3.03-3.33
Te  0.8783  0.7500  0.8536  6 Er 3.06-3.16

Properties
The volume is 28.06 Å³/atom. The energy above the lowest structure with this stoichiometry is 0.0000 eV/atom. For the total magnetic moment, the calculation gives 0.0 μB/cell. As for the theoretical density: 8.552 g/cm3. The energy relative to the elements, uncorrected is -756 meV/atom. The total energy is -5.0143 eV/atom.

=====

Below is an optimized crystal structure of ErNiTe2, with properties calculated at the GGA-PBE level.

Unit cell a=9.1815 b=9.1815 c=9.1815 alpha=23.51 beta=23.51 gamma=23.51
Closest atoms and distances in Å follow each position.
Fractional coordinates of all 4 atoms:
Er  0.0000  0.0000  0.0000  2 Te 3.03
Ni  0.5000  0.5000  0.5000  6 Te 2.59
Te  0.1130  0.1130  0.1130  3 Ni 2.59
Te  0.8870  0.8870  0.8870  3 Ni 2.59

Properties
The volume is 27.04 Å³/atom. For the total magnetic moment, the calculation gives 0.0 μB/cell. As for the theoretical density: 7.388 g/cm3. The energy relative to the elements, uncorrected is -183 meV/atom. The total energy is -4.3400 eV/atom.

=====

Below is an optimized crystal structure of Er5NiTe2, with properties calculated at the GGA-PBE level.

Unit cell a=8.4759 b=8.4759 c=13.4039 alpha=90.00 beta=90.00 gamma=145.67
Closest atoms and distances in Å follow each position.
Fractional coordinates of all 16 atoms:
Er  0.1005  0.8995  0.6130  1 Ni 2.65
Er  0.1005  0.8995  0.8870  1 Ni 2.65
Er  0.2613  0.7387  0.2500  2 Ni 2.52
Er  0.3097  0.6903  0.5731  1 Ni 2.79, 2 Te 3.06
Er  0.3097  0.6903  0.9269  1 Ni 2.79, 2 Te 3.06
Er  0.6903  0.3097  0.0731  1 Ni 2.79, 2 Te 3.06
Er  0.6903  0.3097  0.4269  1 Ni 2.79, 2 Te 3.06
Er  0.7387  0.2613  0.7500  2 Ni 2.52
Er  0.8995  0.1005  0.1130  1 Ni 2.65
Er  0.8995  0.1005  0.3870  1 Ni 2.65
Ni  0.2188  0.7812  0.7500  6 Er 2.52-2.79
Ni  0.7812  0.2188  0.2500  6 Er 2.52-2.79
Te  0.0873  0.9127  0.1162  5 Er 3.04-3.34
Te  0.0873  0.9127  0.3838  5 Er 3.04-3.34
Te  0.9127  0.0873  0.6162  5 Er 3.04-3.34
Te  0.9127  0.0873  0.8838  5 Er 3.04-3.34

Properties
The volume is 33.94 Å³/atom. The energy above the lowest structure with this stoichiometry is 0.2942 eV/atom. For the total magnetic moment, the calculation gives 0.0 μB/cell. As for the theoretical density: 7.034 g/cm3. The energy relative to the elements, uncorrected is -430 meV/atom. The total energy is -4.7895 eV/atom.

=====

Below is an optimized crystal structure of Er8NiTe2, with properties calculated at the GGA-PBE level.

Unit cell a=7.0183 b=7.0183 c=7.6986 alpha=109.54 beta=109.54 gamma=68.98
Closest atoms and distances in Å follow each position.
Fractional coordinates of all 11 atoms:
Er  0.0639  0.0639  0.2472  2 Te 3.30-3.34, 7 Er 3.45-3.60
Er  0.0812  0.5928  0.3485  1 Ni 2.70
Er  0.4072  0.9188  0.6515  1 Ni 2.70
Er  0.4310  0.4310  0.7623  1 Ni 2.45
Er  0.5690  0.5690  0.2377  1 Ni 2.45
Er  0.5928  0.0812  0.3485  1 Ni 2.70
Er  0.9188  0.4072  0.6515  1 Ni 2.70
Er  0.9361  0.9361  0.7528  2 Te 3.30-3.34, 7 Er 3.45-3.60
Ni  0.5000  0.5000  0.5000  6 Er 2.45-2.70
Te  0.2446  0.2446  0.0016  8 Er 3.14-3.44
Te  0.7554  0.7554  0.9984  8 Er 3.14-3.44

Properties
The volume is 29.41 Å³/atom. For the total magnetic moment, the calculation gives 0.0 μB/cell. As for the theoretical density: 8.479 g/cm3. The energy relative to the elements, uncorrected is -363 meV/atom. The total energy is -4.7779 eV/atom.

=====

Below is an optimized crystal structure of Er6Ni2Te, with properties calculated at the GGA-PBE level.

Unit cell a=9.1939 b=9.1939 c=6.2954 alpha=105.19 beta=105.19 gamma=67.42
Closest atoms and distances in Å follow each position.
Fractional coordinates of all 18 atoms:
Er  0.0055  0.1989  0.1172  2 Ni 2.67-2.77
Er  0.0471  0.5761  0.3146  3 Ni 2.93-3.15, 1 Te 3.12
Er  0.1989  0.0055  0.6172  2 Ni 2.67-2.77
Er  0.3231  0.4467  0.8113  2 Ni 2.67-2.76
Er  0.4239  0.9529  0.1854  3 Ni 2.93-3.15, 1 Te 3.12
Er  0.4467  0.3231  0.3113  2 Ni 2.67-2.76
Er  0.5533  0.6769  0.6887  2 Ni 2.67-2.76
Er  0.5761  0.0471  0.8146  3 Ni 2.93-3.15, 1 Te 3.12
Er  0.6769  0.5533  0.1887  2 Ni 2.67-2.76
Er  0.8011  0.9945  0.3828  2 Ni 2.67-2.77
Er  0.9529  0.4239  0.6854  3 Ni 2.93-3.15, 1 Te 3.12
Er  0.9945  0.8011  0.8828  2 Ni 2.67-2.77
Ni  0.2376  0.2405  0.4610  5 Er 2.67-2.93
Ni  0.2405  0.2376  0.9610  5 Er 2.67-2.93
Ni  0.7595  0.7624  0.0390  5 Er 2.67-2.93
Ni  0.7624  0.7595  0.5390  5 Er 2.67-2.93
Te  0.3070  0.6930  0.2500  8 Er 3.08-3.23
Te  0.6930  0.3070  0.7500  8 Er 3.08-3.23

Properties
The volume is 25.91 Å³/atom. The energy above the lowest structure with this stoichiometry is 0.0510 eV/atom. For the total magnetic moment, the calculation gives 0.0 μB/cell. As for the theoretical density: 8.892 g/cm3. The energy relative to the elements, uncorrected is -399 meV/atom. The total energy is -5.0743 eV/atom.

=====

Below is an optimized crystal structure of Er12Ni6Te, with properties calculated at the GGA-PBE level.

Unit cell a=8.3616 b=8.3616 c=8.3616 alpha=109.47 beta=109.47 gamma=109.47
Closest atoms and distances in Å follow each position.
Fractional coordinates of all 19 atoms:
Er  0.1191  0.3077  0.8115  3 Ni 2.59-2.87
Er  0.1885  0.4962  0.3077  3 Ni 2.59-2.87
Er  0.1885  0.8809  0.6923  3 Ni 2.59-2.87
Er  0.3077  0.1885  0.4962  3 Ni 2.59-2.87
Er  0.3077  0.8115  0.1191  3 Ni 2.59-2.87
Er  0.4962  0.3077  0.1885  3 Ni 2.59-2.87
Er  0.5038  0.6923  0.8115  3 Ni 2.59-2.87
Er  0.6923  0.1885  0.8809  3 Ni 2.59-2.87
Er  0.6923  0.8115  0.5038  3 Ni 2.59-2.87
Er  0.8115  0.1191  0.3077  3 Ni 2.59-2.87
Er  0.8115  0.5038  0.6923  3 Ni 2.59-2.87
Er  0.8809  0.6923  0.1885  3 Ni 2.59-2.87
Ni  0.1247  0.5000  0.6247  1 Ni 2.41, 2 Er 2.59
Ni  0.3753  0.8753  0.5000  1 Ni 2.41, 2 Er 2.59
Ni  0.5000  0.3753  0.8753  1 Ni 2.41, 2 Er 2.59
Ni  0.5000  0.6247  0.1247  1 Ni 2.41, 2 Er 2.59
Ni  0.6247  0.1247  0.5000  1 Ni 2.41, 2 Er 2.59
Ni  0.8753  0.5000  0.3753  1 Ni 2.41, 2 Er 2.59
Te  0.0000  0.0000  0.0000  12 Er 3.48

Properties
The volume is 23.69 Å³/atom. For the total magnetic moment, the calculation gives 0.0 μB/cell. As for the theoretical density: 9.176 g/cm3. The energy relative to the elements, uncorrected is -444 meV/atom. The total energy is -5.3169 eV/atom.

=====

Below is an optimized crystal structure of Er3NiTe, with properties calculated at the GGA-PBE level.

Unit cell a=7.1787 b=3.8728 c=9.6820 alpha=90.00 beta=92.35 gamma=90.00
Closest atoms and distances in Å follow each position.
Fractional coordinates of all 10 atoms:
Er  0.0086  0.2500  0.2466  3 Ni 2.79-3.04
Er  0.3052  0.7500  0.4641  3 Ni 2.71-2.75
Er  0.4820  0.7500  0.8053  3 Te 3.01-3.08
Er  0.5180  0.2500  0.1947  3 Te 3.01-3.08
Er  0.6948  0.2500  0.5359  3 Ni 2.71-2.75
Er  0.9914  0.7500  0.7534  3 Ni 2.79-3.04
Ni  0.0781  0.2500  0.5586  2 Ni 2.49, 3 Er 2.71-2.75
Ni  0.9219  0.7500  0.4414  2 Ni 2.49, 3 Er 2.71-2.75
Te  0.2292  0.2500  0.9597  6 Er 3.01-3.25
Te  0.7708  0.7500  0.0403  6 Er 3.01-3.25

Properties
The volume is 26.89 Å³/atom. The energy above the lowest structure with this stoichiometry is 0.1653 eV/atom. For the total magnetic moment, the calculation gives 0.0 μB/cell. As for the theoretical density: 8.497 g/cm3. The energy relative to the elements, uncorrected is -540 meV/atom. The total energy is -5.0625 eV/atom.

=====

Below is an optimized crystal structure of Er8Ni2Te, with properties calculated at the GGA-PBE level.

Unit cell a=7.6650 b=7.6650 c=5.5732 alpha=97.21 beta=97.21 gamma=113.66
Closest atoms and distances in Å follow each position.
Fractional coordinates of all 11 atoms:
Er  0.0770  0.3388  0.5982  2 Ni 2.77-2.78
Er  0.2485  0.7515  0.0000  2 Ni 2.87, 1 Te 3.19
Er  0.3388  0.0770  0.5982  2 Ni 2.77-2.78
Er  0.3949  0.3949  0.2040  2 Ni 3.04, 2 Er 3.18-3.37, 1 Te 3.25
Er  0.6051  0.6051  0.7960  2 Ni 3.04, 2 Er 3.18-3.37, 1 Te 3.25
Er  0.6612  0.9230  0.4018  2 Ni 2.77-2.78
Er  0.7515  0.2485  0.0000  2 Ni 2.87, 1 Te 3.19
Er  0.9230  0.6612  0.4018  2 Ni 2.77-2.78
Ni  0.3024  0.6976  0.5000  8 Er 2.77-3.04
Ni  0.6976  0.3024  0.5000  8 Er 2.77-3.04
Te  0.0000  0.0000  0.0000  8 Er 3.19-3.56

Properties
The volume is 26.54 Å³/atom. For the total magnetic moment, the calculation gives 0.9 μB/cell. As for the theoretical density: 9.005 g/cm3. The energy relative to the elements, uncorrected is -279 meV/atom. The total energy is -4.9340 eV/atom.

=====

Below is an optimized crystal structure of Er6Ni2Te, with properties calculated at the GGA-PBE level.

Unit cell a=8.3948 b=8.3948 c=8.3948 alpha=113.97 beta=109.28 gamma=105.29
Closest atoms and distances in Å follow each position.
Fractional coordinates of all 18 atoms:
Er  0.0177  0.2256  0.7920  1 Ni 2.72
Er  0.1801  0.2971  0.4772  2 Ni 2.85
Er  0.1801  0.7029  0.8830  2 Ni 2.85
Er  0.3258  0.0133  0.6876  3 Ni 2.67-2.83
Er  0.3258  0.6382  0.3124  3 Ni 2.67-2.83
Er  0.4336  0.2256  0.2080  1 Ni 2.72
Er  0.5664  0.7744  0.7920  1 Ni 2.72
Er  0.6742  0.3618  0.6876  3 Ni 2.67-2.83
Er  0.6742  0.9867  0.3124  3 Ni 2.67-2.83
Er  0.8199  0.2971  0.1170  2 Ni 2.85
Er  0.8199  0.7029  0.5228  2 Ni 2.85
Er  0.9823  0.7744  0.2080  1 Ni 2.72
Ni  0.1247  0.6247  0.5000  1 Ni 2.54, 2 Er 2.67
Ni  0.3577  0.0000  0.3577  6 Er 2.72-2.83, 1 Ni 2.76
Ni  0.6423  0.0000  0.6423  6 Er 2.72-2.83, 1 Ni 2.76
Ni  0.8753  0.3753  0.5000  1 Ni 2.54, 2 Er 2.67
Te  0.0000  0.0000  0.0000  8 Er 3.06-3.23
Te  0.5000  0.5000  0.0000  12 Er 3.36-3.62

Properties
The volume is 25.15 Å³/atom. The energy above the lowest structure with this stoichiometry is 0.0000 eV/atom. For the total magnetic moment, the calculation gives 0.0 μB/cell. As for the theoretical density: 9.158 g/cm3. The energy relative to the elements, uncorrected is -450 meV/atom. The total energy is -5.1253 eV/atom.

=====

Question: Which value of total magnetic moment does entry 8 give?
Answer: 0.0 μB/cell